No. 1
Li2FeIr PBE optimized geometry; density = 8.2 g/cm3; DOS at the Fermi energy = 0.545 states/eV per atom
1.0
-3.259 -0.714 3.584
1.226 -2.951 3.711
1.959 3.792 -2.401
Li Fe Ir
2 1 1
direct
0.500 0.500 0.000
0.000 0.000 0.000
0.250 0.750 0.500
0.750 0.250 0.500

=====

No. 2
LiFe2Ir2 PBE optimized geometry; density = 12.2 g/cm3; ΔE to the lowest computed polymorph = 59.8 meV/atom; DOS at the Fermi energy = 1.462 states/eV per atom
1.0
7.224 0.000 0.000
0.000 7.224 0.000
0.000 0.000 2.624
Fe Li Ir
4 2 4
direct
0.332 0.168 0.500
0.832 0.332 0.500
0.668 0.832 0.500
0.168 0.668 0.500
0.000 0.000 0.000
0.500 0.500 0.000
0.370 0.870 0.000
0.870 0.630 0.000
0.630 0.130 0.000
0.130 0.370 0.000

=====

No. 3
LiFe4Ir15 PBE optimized geometry; density = 18.5 g/cm3; DOS at the Fermi energy = 1.302 states/eV per atom
1.0
3.828 0.000 0.000
0.000 3.828 0.000
0.000 0.000 19.051
Ir Fe Li
15 4 1
direct
0.500 0.000 0.100
0.500 0.500 0.400
0.500 0.500 0.000
0.500 0.000 0.500
0.000 0.500 0.900
0.500 0.000 0.300
0.500 0.500 0.200
0.500 0.000 0.900
0.000 0.500 0.700
0.000 0.500 0.300
0.000 0.500 0.500
0.500 0.500 0.600
0.000 0.500 0.100
0.500 0.000 0.700
0.500 0.500 0.800
0.000 0.000 0.601
0.000 0.000 0.801
0.000 0.000 0.199
0.000 0.000 0.399
0.000 0.000 0.000

=====

No. 4
LiFe2Ir2 PBE optimized geometry; density = 10.2 g/cm3; ΔE to the lowest computed polymorph = 214.6 meV/atom; DOS at the Fermi energy = 1.274 states/eV per atom
1.0
5.405 -1.101 -2.080
4.908 1.931 2.634
-5.048 -2.774 1.252
Ir Li Fe
2 1 2
direct
0.384 0.384 0.000
0.616 0.616 0.000
0.000 0.000 0.000
0.750 0.250 0.500
0.250 0.750 0.500

=====

No. 5
Li2FeIr PBE optimized geometry; density = 7.9 g/cm3; DOS at the Fermi energy = 1.032 states/eV per atom
1.0
-1.615 -0.930 -1.740
1.436 -2.097 -0.212
-4.495 -3.699 6.149
Li Ir Fe
2 1 1
direct
0.000 0.000 0.510
0.000 0.000 0.990
0.500 0.500 0.750
0.500 0.500 0.250

=====

No. 6
Li2FeIr PBE optimized geometry; density = 8.6 g/cm3; DOS at the Fermi energy = 0.610 states/eV per atom
1.0
-0.350 -1.459 -2.743
3.096 -0.392 -0.187
-0.423 -4.512 2.454
Ir Li Fe
1 2 1
direct
0.500 0.500 0.750
0.000 0.000 0.990
0.000 0.000 0.510
0.500 0.500 0.250

=====

Computed formation enthalpy at 0 K, in the same sequence as the records: 11; 62; -61; 137; 70; 95 kJ/mol of formula units.
Computed total DFT energy (no corrections), in the same sequence as the records: -21.04; -71.84; -169.31; -35.14; -20.42; -20.17 eV/cell.